Entry 1:
Entry from Alexandria via LeMat-Bulk: an optimized crystal structure of SrPb (GGA-PBE).

The space group is I4_1/amd (No. 141, origin choice 2) and the conventional cell measures 4.932, 4.932 and 11.676 Å, with angles of 90.00, 90.00 and 90.00 degrees. The inequivalent atoms are Sr at (0.000, 0.250, 0.375) and Pb at (0.000, 0.250, 0.875).

For the formation energy, the calculation gives -387 meV per atom. The crystal system is tetragonal.

Entry 2:
Entry from Alexandria via LeMat-Bulk: an optimized crystal structure of Dy5SnBi2 (GGA-PBE).

The space group is Cmcm (No. 63) and the conventional cell measures 5.990, 11.668 and 14.312 Å, with angles of 90.00, 90.00 and 90.00 degrees. The inequivalent atoms are Dy at (0.000, 0.077, 0.102), Dy at (0.000, 0.378, 0.052), Dy at (0.000, 0.416, 0.750), Sn at (0.000, 0.275, 0.250) and Bi at (0.000, 0.197, 0.613).

For the formation energy, the calculation gives -326 meV per atom. The crystal system is orthorhombic.

Entry 3:
Entry from Alexandria via LeMat-Bulk: an optimized crystal structure of YInCl2 (GGA-PBE).

The space group is C2/m (No. 12) and the conventional cell measures 6.731, 9.555 and 3.687 Å, with angles of 90.00, 121.37 and 90.00 degrees. The inequivalent atoms are Y at (0.000, 0.000, 0.000), In at (0.000, 0.500, 0.000) and Cl at (0.250, 0.250, 0.000).

For the offset from the most stable computed form, the calculation gives 0.253 eV per atom. The energy relative to the elements, uncorrected comes out at -1.039 eV per atom. The crystal system is monoclinic.

no.,total moment (Bohr magnetons per cell),Fermi-level density of states (states/eV/atom)
1,0.00,0.90
2,0.00,1.00
3,0.00,0.40